(1)
DFT (GGA-PBE) results for a relaxed structure of PmPr2Sm5Ho.

Unit cell a=10.1651 b=10.1651 c=10.1651 alpha=128.86 beta=128.86 gamma=75.23
Last column: nearest neighbours and their distance in Å.
Sites, in units of the cell vectors:
1 Pm 0.2500 0.2500 0.0000  10 Sm 3.60-4.03
2 Pm 0.7500 0.7500 0.0000  10 Sm 3.60-4.03
3 Pr 0.1191 0.6191 0.7381  1 Pr 2.95, 2 Sm 3.08
4 Pr 0.3809 0.1191 0.5000  1 Pr 2.95, 2 Sm 3.08
5 Pr 0.6191 0.8809 0.5000  1 Pr 2.95, 2 Sm 3.08
6 Pr 0.8809 0.3809 0.2619  1 Pr 2.95, 2 Sm 3.08
7 Sm 0.0000 0.0000 0.0000  4 Pr 3.50, 8 Sm 3.87
8 Sm 0.0717 0.1471 0.5000  1 Pr 3.08, 1 Ho 3.17
9 Sm 0.1471 0.6471 0.0754  1 Pr 3.08, 1 Ho 3.17
10 Sm 0.3529 0.4283 0.5000  1 Pr 3.08, 1 Ho 3.17
11 Sm 0.4283 0.9283 0.0754  1 Pr 3.08, 1 Ho 3.17
12 Sm 0.5000 0.5000 0.0000  4 Pr 3.50, 8 Sm 3.87
13 Sm 0.5717 0.0717 0.9246  1 Pr 3.08, 1 Ho 3.17
14 Sm 0.6471 0.5717 0.5000  1 Pr 3.08, 1 Ho 3.17
15 Sm 0.8529 0.3529 0.9246  1 Pr 3.08, 1 Ho 3.17
16 Sm 0.9283 0.8529 0.5000  1 Pr 3.08, 1 Ho 3.17
17 Ho 0.2500 0.7500 0.5000  4 Sm 3.17
18 Ho 0.7500 0.2500 0.5000  4 Sm 3.17

Calculated values
Calculated density: 7.2 g/cm3
DFT formation energy: 0.268 eV/atom
Crystal system: tetragonal

---

(2)
DFT (GGA-PBE) results for a relaxed structure of Pm3PrSmHo.

Unit cell a=8.1213 b=5.1526 c=10.2794 alpha=90.00 beta=108.53 gamma=90.00
Last column: nearest neighbours and their distance in Å.
Sites, in units of the cell vectors:
1 Pm 0.1684 0.2500 0.0423  1 Ho 3.62, 3 Sm 3.63, 3 Pr 3.64-3.66, 5 Pm 3.65-3.66
2 Pm 0.1689 0.7500 0.7912  3 Sm 3.62-3.63, 1 Ho 3.62, 6 Pm 3.63-3.66, 2 Pr 3.66
3 Pm 0.1698 0.2500 0.5420  1 Sm 3.61, 3 Ho 3.61-3.62, 3 Pr 3.63-3.66, 5 Pm 3.63-3.67
4 Pm 0.8302 0.7500 0.4580  1 Sm 3.61, 3 Ho 3.61-3.62, 3 Pr 3.63-3.66, 5 Pm 3.63-3.67
5 Pm 0.8311 0.2500 0.2088  3 Sm 3.62-3.63, 1 Ho 3.62, 6 Pm 3.63-3.66, 2 Pr 3.66
6 Pm 0.8316 0.7500 0.9577  1 Ho 3.62, 3 Sm 3.63, 3 Pr 3.64-3.66, 5 Pm 3.65-3.66
7 Pr 0.1686 0.7500 0.2928  3 Ho 3.61-3.63, 1 Sm 3.63, 8 Pm 3.63-3.66
8 Pr 0.8314 0.2500 0.7072  3 Ho 3.61-3.63, 1 Sm 3.63, 8 Pm 3.63-3.66
9 Sm 0.4994 0.2500 0.8741  7 Pm 3.61-3.63, 1 Pr 3.63, 2 Ho 3.64, 2 Sm 3.65
10 Sm 0.5006 0.7500 0.1259  7 Pm 3.61-3.63, 1 Pr 3.63, 2 Ho 3.64, 2 Sm 3.65
11 Ho 0.5000 0.2500 0.3759  3 Pr 3.61-3.63, 5 Pm 3.61-3.62, 2 Ho 3.63, 2 Sm 3.64
12 Ho 0.5000 0.7500 0.6241  3 Pr 3.61-3.63, 5 Pm 3.61-3.62, 2 Ho 3.63, 2 Sm 3.64

Calculated values
Calculated density: 7.3 g/cm3
DFT formation energy: 0.018 eV/atom
Crystal system: monoclinic

---

(3)
DFT (GGA-PBE) results for a relaxed structure of Pm6Pr2SmHo3.

Unit cell a=6.2910 b=6.2910 c=12.0007 alpha=95.01 beta=95.01 gamma=120.01
Last column: nearest neighbours and their distance in Å.
Sites, in units of the cell vectors:
1 Pm 0.0848 0.4175 0.7546  3 Ho 3.58, 6 Pm 3.63-3.64, 1 Sm 3.66, 2 Pr 3.67
2 Pm 0.2480 0.2480 0.2453  3 Ho 3.58, 6 Pm 3.63-3.64, 1 Sm 3.67, 2 Pr 3.67
3 Pm 0.4175 0.0848 0.7546  3 Ho 3.58, 6 Pm 3.63-3.64, 1 Sm 3.66, 2 Pr 3.67
4 Pm 0.5825 0.9152 0.2454  3 Ho 3.58, 6 Pm 3.63-3.64, 1 Sm 3.66, 2 Pr 3.67
5 Pm 0.7520 0.7520 0.7547  3 Ho 3.58, 6 Pm 3.63-3.64, 1 Sm 3.67, 2 Pr 3.67
6 Pm 0.9152 0.5825 0.2454  3 Ho 3.58, 6 Pm 3.63-3.64, 1 Sm 3.66, 2 Pr 3.67
7 Pr 0.3333 0.6667 0.5000  3 Pr 3.63, 3 Sm 3.63, 6 Pm 3.67
8 Pr 0.6667 0.3333 0.5000  3 Pr 3.63, 3 Sm 3.63, 6 Pm 3.67
9 Sm 0.0000 0.0000 0.5000  6 Pr 3.63, 6 Pm 3.66-3.67
10 Ho 0.1665 0.8335 0.0000  6 Pm 3.58, 6 Ho 3.63
11 Ho 0.5000 0.5000 0.0000  6 Pm 3.58, 6 Ho 3.63
12 Ho 0.8335 0.1665 0.0000  6 Pm 3.58, 6 Ho 3.63

Calculated values
Calculated density: 7.4 g/cm3
DFT formation energy: 0.016 eV/atom
Crystal system: monoclinic

---

(4)
DFT (GGA-PBE) results for a relaxed structure of Pm2PrSm2Ho2.

Unit cell a=6.2544 b=6.2544 c=8.1051 alpha=97.37 beta=97.37 gamma=48.26
Last column: nearest neighbours and their distance in Å.
Sites, in units of the cell vectors:
1 Pm 0.1432 0.1432 0.4296  3 Pm 3.61, 5 Sm 3.61-3.62, 3 Ho 3.62-3.63, 1 Pr 3.63
2 Pm 0.8568 0.8568 0.5704  3 Pm 3.61, 5 Sm 3.61-3.62, 3 Ho 3.62-3.63, 1 Pr 3.63
3 Pr 0.0000 0.0000 0.0000  6 Ho 3.60-3.62, 4 Sm 3.61, 2 Pm 3.63
4 Sm 0.4283 0.4283 0.2841  4 Ho 3.61-3.62, 2 Pr 3.61, 5 Pm 3.61-3.62, 1 Sm 3.65
5 Sm 0.5717 0.5717 0.7159  4 Ho 3.61-3.62, 2 Pr 3.61, 5 Pm 3.61-3.62, 1 Sm 3.65
6 Ho 0.2852 0.2852 0.8580  3 Pr 3.60-3.62, 2 Ho 3.61, 4 Sm 3.61-3.62, 3 Pm 3.62-3.63
7 Ho 0.7148 0.7148 0.1420  3 Pr 3.60-3.62, 2 Ho 3.61, 4 Sm 3.61-3.62, 3 Pm 3.62-3.63

Calculated values
Calculated density: 7.5 g/cm3
DFT formation energy: 0.016 eV/atom
Crystal system: monoclinic

---

Q: Look up the calculated density of the second one.
A: 7.3 g/cm3

---

Q: Look up the calculated density of the fourth one.
A: 7.5 g/cm3

---

Q: Among the records above, which one has the highest DFT formation energy?
A: PmPr2Sm5Ho